(1)
# MgCdCuC2 PBE-GGA relaxed
data_MgCdCuC2
_cell_length_a 4.1198
_cell_length_b 4.1198
_cell_length_c 4.7069
_cell_angle_alpha 90.00
_cell_angle_beta 90.00
_cell_angle_gamma 90.00
_symmetry_space_group_name_H-M 'P 4/m m m'
_symmetry_Int_Tables_number 123
_symmetry_space_group_name_Hall '-P 4 2'
loop_
_atom_site_label
_atom_site_type_symbol
_atom_site_fract_x
_atom_site_fract_y
_atom_site_fract_z
_atom_site_occupancy
Mg1 Mg 0.0000 0.0000 0.0000 1
Cd1 Cd 0.5000 0.5000 0.5000 1
Cu1 Cu 0.0000 0.0000 0.5000 1
C1 C 0.0000 0.5000 0.0000 1
# M_tot = 0.000 μB per formula unit
# DOS at the Fermi energy = 2.8 states/eV/f.u.
# Formation energy = 2.06 eV per atom

=====

(2)
# MgCdCu2C PBE-GGA relaxed
data_MgCdCu2C
_cell_length_a 4.6010
_cell_length_b 4.6010
_cell_length_c 5.2259
_cell_angle_alpha 90.00
_cell_angle_beta 90.00
_cell_angle_gamma 90.00
_symmetry_space_group_name_H-M 'P 4/m m m'
_symmetry_Int_Tables_number 123
_symmetry_space_group_name_Hall '-P 4 2'
loop_
_atom_site_label
_atom_site_type_symbol
_atom_site_fract_x
_atom_site_fract_y
_atom_site_fract_z
_atom_site_occupancy
Mg1 Mg 0.0000 0.0000 0.0000 1
Cd1 Cd 0.0000 0.0000 0.5000 1
Cu1 Cu 0.0000 0.5000 0.0000 1
C1 C 0.5000 0.5000 0.5000 1
# M_tot = 1.457 μB per formula unit
# DOS at the Fermi energy = 3.1 states/eV/f.u.
# Formation energy = 2.08 eV per atom

=====

- DOS at the Fermi energy of number 2 (MgCdCu2C)?
  3.1 states/eV/f.u.

=====

- Which formula does entry 2 have?
  MgCdCu2C

=====

- What is the DOS at the Fermi energy in the second record?
  3.1 states/eV/f.u.

=====

- Among the records above, which one has the lowest DOS at the Fermi energy?
  MgCdCuC2